No. 1
A relaxed KZn2Fe crystal. Source: the Alexandria database, functional PBE.

Output
Formation energy in eV per atom: 0.5603
Crystal system: orthorhombic

```
data_KZn2Fe
_cell_length_a 2.759
_cell_length_b 5.387
_cell_length_c 10.651
_cell_angle_alpha 90.00
_cell_angle_beta 90.00
_cell_angle_gamma 90.00
_symmetry_space_group_name_H-M 'I m m 2'
_symmetry_Int_Tables_number 44
_symmetry_space_group_name_Hall 'I 2 -2'
loop_
_atom_site_label
_atom_site_fract_x
_atom_site_fract_y
_atom_site_fract_z
K1 0.000 0.000 0.000
Zn1 0.000 0.000 0.513
Zn2 0.000 0.500 0.789
Fe1 0.000 0.500 0.211
```

=====

No. 2
A relaxed K2ZnFe crystal. Source: the Alexandria database, functional PBE.

Output
Formation energy in eV per atom: 0.9149
Crystal system: orthorhombic

```
data_K2ZnFe
_cell_length_a 3.012
_cell_length_b 6.364
_cell_length_c 6.688
_cell_angle_alpha 90.00
_cell_angle_beta 90.00
_cell_angle_gamma 90.00
_symmetry_space_group_name_H-M 'P m m m'
_symmetry_Int_Tables_number 47
_symmetry_space_group_name_Hall '-P 2 2'
loop_
_atom_site_label
_atom_site_fract_x
_atom_site_fract_y
_atom_site_fract_z
K1 0.000 0.000 0.000
K2 0.500 0.500 0.500
Zn1 0.000 0.000 0.500
Fe1 0.500 0.500 0.000
```

=====

No. 3
A relaxed KZn2Fe crystal. Source: the Alexandria database, functional PBE.

Output
Formation energy in eV per atom: 0.9524
Crystal system: cubic

```
data_KZn2Fe
_cell_length_a 6.723
_cell_length_b 6.723
_cell_length_c 6.723
_cell_angle_alpha 90.00
_cell_angle_beta 90.00
_cell_angle_gamma 90.00
_symmetry_space_group_name_H-M 'F m -3 m'
_symmetry_Int_Tables_number 225
_symmetry_space_group_name_Hall '-F 4 2 3'
loop_
_atom_site_label
_atom_site_fract_x
_atom_site_fract_y
_atom_site_fract_z
K1 0.000 0.000 0.000
Zn1 0.250 0.250 0.250
Fe1 0.000 0.000 0.500
```

=====

No. 4
A relaxed KZn2Fe crystal. Source: the Alexandria database, functional PBE.

Output
Formation energy in eV per atom: 0.3987
Crystal system: monoclinic

```
data_KZn2Fe
_cell_length_a 8.586
_cell_length_b 2.748
_cell_length_c 7.155
_cell_angle_alpha 90.00
_cell_angle_beta 95.10
_cell_angle_gamma 90.00
_symmetry_space_group_name_H-M 'C 1 2/m 1'
_symmetry_Int_Tables_number 12
_symmetry_space_group_name_Hall '-C 2y'
loop_
_atom_site_label
_atom_site_fract_x
_atom_site_fract_y
_atom_site_fract_z
K1 0.000 0.000 0.000
Zn1 0.233 0.000 0.656
Fe1 0.000 0.500 0.500
```

=====

No. 5
A relaxed KZn2Fe crystal. Source: the Alexandria database, functional PBE.

Output
Formation energy in eV per atom: 0.3324
Crystal system: tetragonal

```
data_KZn2Fe
_cell_length_a 3.151
_cell_length_b 3.151
_cell_length_c 7.988
_cell_angle_alpha 90.00
_cell_angle_beta 90.00
_cell_angle_gamma 90.00
_symmetry_space_group_name_H-M 'P 4/m m m'
_symmetry_Int_Tables_number 123
_symmetry_space_group_name_Hall '-P 4 2'
loop_
_atom_site_label
_atom_site_fract_x
_atom_site_fract_y
_atom_site_fract_z
K1 0.000 0.000 0.000
Zn1 0.500 0.500 0.334
Fe1 0.000 0.000 0.500
```

=====

No. 6
A relaxed K2ZnFe crystal. Source: the Alexandria database, functional PBE.

Output
Formation energy in eV per atom: 0.8300
Crystal system: tetragonal

```
data_K2ZnFe
_cell_length_a 3.534
_cell_length_b 3.534
_cell_length_c 10.100
_cell_angle_alpha 90.00
_cell_angle_beta 90.00
_cell_angle_gamma 90.00
_symmetry_space_group_name_H-M 'P 4/m m m'
_symmetry_Int_Tables_number 123
_symmetry_space_group_name_Hall '-P 4 2'
loop_
_atom_site_label
_atom_site_fract_x
_atom_site_fract_y
_atom_site_fract_z
K1 0.000 0.000 0.244
Zn1 0.500 0.500 0.500
Fe1 0.500 0.500 0.000
```

=====

no.,volume (Å³/atom),DOS(E_F) (states/eV/cell)
1,19.79,6.7
2,32.05,5.8
3,18.99,72.5
4,21.02,5.1
5,19.83,3.1
6,31.53,3.3